The following is a GGA-PBE calculation of a relaxed HfIn2I crystal, from Alexandria via LeMat-Bulk.

Computed properties:
**E_form (uncorrected)**: 0.379 eV per atom
**Symmetry**: I-42d

Cell lengths 9.391, 9.391, 5.706 Å; angles 90.00, 90.00, 90.00 degrees
Element x y z (fractional)
Hf (0.000, 0.000, 0.000)
Hf (0.000, 0.500, 0.250)
Hf (0.500, 0.000, 0.750)
Hf (0.500, 0.500, 0.500)
In (0.180, 0.250, 0.125)
In (0.250, 0.680, 0.375)
In (0.250, 0.820, 0.875)
In (0.320, 0.250, 0.625)
In (0.680, 0.750, 0.625)
In (0.750, 0.180, 0.875)
In (0.750, 0.320, 0.375)
In (0.820, 0.750, 0.125)
I (0.000, 0.000, 0.500)
I (0.000, 0.500, 0.750)
I (0.500, 0.000, 0.250)
I (0.500, 0.500, 0.000)